# 1
PrCo2Ge2: single point on PBEsol structure, meta-GGA SCAN.

Mass density = 8.32 g/cm³
Calculated formation energy = -0.5813 eV/atom
E_tot = -23.803 eV per atom
Spin magnetization = 0.03 μB per cell

Geometry as POSCAR:
```
PrCo2Ge2
1.0
-1.988 1.988 5.103
1.988 -1.988 5.103
1.988 1.988 -5.103
Pr Co Ge
1 2 2
Direct
0.000 0.000 0.000 Pr
0.250 0.750 0.500 Co
0.750 0.250 0.500 Co
0.367 0.367 0.000 Ge
0.633 0.633 0.000 Ge
```


# 2
Co3GePt: single point on PBEsol structure, meta-GGA SCAN.

Mass density = 7.95 g/cm³
Calculated formation energy = 1.1463 eV/atom
E_tot = -27.092 eV per atom
Spin magnetization = 6.99 μB per cell

Geometry as POSCAR:
```
Co3GePt
1.0
4.528 0.000 0.000
0.000 4.528 0.000
0.000 0.000 4.528
Co Ge Pt
3 1 1
Direct
0.000 0.000 0.500 Co
0.000 0.500 0.000 Co
0.500 0.000 0.000 Co
0.500 0.500 0.500 Ge
0.000 0.000 0.000 Pt
```


# 3
CoGeSbPt2: single point on PBEsol structure, meta-GGA SCAN.

Mass density = 9.74 g/cm³
Raw formation energy = 0.94 eV/atom
E_tot = -41.869 eV per atom
Spin magnetization = 1.64 μB per cell

Geometry as POSCAR:
```
CoGeSbPt2
1.0
4.894 0.000 0.000
0.000 4.894 0.000
0.000 0.000 4.583
Co Ge Sb Pt
1 1 1 2
Direct
0.000 0.000 0.000 Co
0.500 0.500 0.000 Ge
0.000 0.000 0.500 Sb
0.000 0.500 0.500 Pt
0.500 0.000 0.500 Pt
```


Q: What is the formula in the first record?
A: PrCo2Ge2


Q: Which of these has the lowest E_tot?
A: CoGeSbPt2


Q: Which formula does entry 1 have?
A: PrCo2Ge2


Q: The lowest mass density belongs to which entry?
A: Co3GePt